CaTiNb2Pt | PBEsol | relaxed

Cell and atoms, written as CIF:
```
data_CaTiNb2Pt
_symmetry_space_group_name_H-M 'P 4/m m m'
_symmetry_Int_Tables_number 123
_symmetry_space_group_name_Hall '-P 4 2'
_cell_length_a 4.9690
_cell_length_b 4.9690
_cell_length_c 4.8168
_cell_angle_alpha 90.00
_cell_angle_beta 90.00
_cell_angle_gamma 90.00
loop_
_atom_site_label
_atom_site_fract_x
_atom_site_fract_y
_atom_site_fract_z
Ca1 0.0000 0.0000 0.0000
Ti1 0.5000 0.5000 0.0000
Nb1 0.0000 0.5000 0.5000
Pt1 0.5000 0.5000 0.5000
```

Properties
As for the density of states at the Fermi level: 6.0 states/eV/cell. For the energy of formation, the calculation gives 0.67 eV per atom.